Entry from Alexandria: a relaxed structure of LaFeRu3 (PBE).

Results
E in eV per atom: -5.8856
Formation enthalpy at 0 K in eV/atom: 2.36

abc: 4.7339 4.7339 4.7339
angles: 90.00 90.00 90.00
Closest atoms and distances in Å follow each position.
Space group Pm-3m (No. 221)
Unique sites:
La: 0.0000 0.0000 0.0000 [1 per cell]  6 Ru 2.37
Fe: 0.5000 0.5000 0.5000 [1 per cell]  12 Ru 3.35
Ru: 0.0000 0.0000 0.5000 [3 per cell]  2 La 2.37

Entry from Alexandria: a relaxed structure of SrOs3 (PBE).

Results
E in eV per atom: -7.9690
Formation enthalpy at 0 K in eV/atom: 0.87

abc: 2.8263 4.9307 10.3005
angles: 90.00 90.00 90.00
Closest atoms and distances in Å follow each position.
Space group Immm (No. 71)
Unique sites:
Sr: 0.0000 0.0000 0.0000 [2 per cell]  2 Sr 2.83, 4 Os 2.84
Os: 0.0000 0.0000 0.5000 [2 per cell]  6 Os 2.63-2.83, 4 Sr 2.84
Os: 0.0000 0.5000 0.2148 [4 per cell]  8 Os 2.63-2.93

Entry from Alexandria: a relaxed structure of Np2Tl3FeS6 (PBE).

Results
E in eV per atom: -6.2740
Formation energy from raw total energies in eV per formula unit: -9.08

abc: 6.7555 11.6513 7.8887
angles: 90.00 106.65 90.00
Closest atoms and distances in Å follow each position.
Space group C2/m (No. 12)
Unique sites:
Np: 0.0000 0.1660 0.0000 [4 per cell]  6 S 2.71
Tl: 0.0000 0.0000 0.5000 [2 per cell]  6 S 3.22-3.29
Tl: 0.0000 0.3297 0.5000 [4 per cell]  6 S 3.22-3.31
Fe: 0.0000 0.5000 0.0000 [2 per cell]  6 S 2.56-2.61
S: 0.2210 0.3416 0.1875 [8 per cell]  1 Fe 2.56, 2 Np 2.71
S: 0.2447 0.0000 0.1940 [4 per cell]  1 Fe 2.61, 2 Np 2.71

Entry from Alexandria: a relaxed structure of Tb4Sm2Sc3 (PBE).

Results
E in eV per atom: -5.1897
Formation enthalpy at 0 K in eV/atom: 0.03

abc: 18.1536 3.5145 9.3081
angles: 90.00 115.71 90.00
Closest atoms and distances in Å follow each position.
Space group C2/m (No. 12)
Unique sites:
Tb: 0.0195 0.0000 0.3374 [4 per cell]  5 Tb 3.39-3.52, 6 Sc 3.40-3.51, 1 Sm 3.40
Tb: 0.1864 0.5000 0.3329 [4 per cell]  4 Sc 3.43-3.47, 6 Tb 3.45-3.52, 2 Sm 3.50
Sm: 0.1637 0.0000 0.9911 [4 per cell]  3 Tb 3.40-3.50, 5 Sc 3.43-3.54, 4 Sm 3.51-3.53
Sc: 0.0000 0.5000 0.0000 [2 per cell]  6 Tb 3.46-3.48, 4 Sm 3.48, 2 Sc 3.51
Sc: 0.1477 0.5000 0.6628 [4 per cell]  7 Tb 3.40-3.51, 3 Sm 3.43-3.54, 2 Sc 3.51

Entry from Alexandria: a relaxed structure of LiZnInGa (PBE).

Results
E in eV per atom: -2.3701
Formation enthalpy at 0 K in eV/atom: -0.13

abc: 4.0694 4.2026 4.2461
angles: 90.00 90.00 90.00
Closest atoms and distances in Å follow each position.
Space group Pmmm (No. 47)
Unique sites:
Li: 0.0000 0.0000 0.0000 [1 per cell]  4 In 2.92, 4 Ga 2.94, 4 Zn 2.99
Zn: 0.0000 0.5000 0.5000 [1 per cell]  4 Ga 2.92, 4 In 2.94, 4 Li 2.99
In: 0.5000 0.5000 0.0000 [1 per cell]  4 Li 2.92, 4 Zn 2.94, 4 Ga 2.99
Ga: 0.5000 0.0000 0.5000 [1 per cell]  4 Zn 2.92, 4 Li 2.94, 4 In 2.99

Entry from Alexandria: a relaxed structure of YW4Au (PBE).

Results
E in eV per atom: -9.8735
Formation enthalpy at 0 K in eV/atom: 0.39

abc: 7.6734 7.6734 7.6734
angles: 90.00 90.00 90.00
Closest atoms and distances in Å follow each position.
Space group F-43m (No. 216)
Unique sites:
Y: 0.0000 0.0000 0.0000 [4 per cell]  12 W 3.18, 4 Au 3.32
W: 0.1258 0.1258 0.3742 [16 per cell]  6 W 2.70-2.73
Au: 0.2500 0.2500 0.7500 [4 per cell]  12 W 3.18, 4 Y 3.32

Entry from Alexandria: a relaxed structure of AsOs3Pt (PBE).

Results
E in eV per atom: -7.1291
Formation enthalpy at 0 K in eV/atom: 1.75

abc: 4.4819 4.4819 4.4819
angles: 90.00 90.00 90.00
Closest atoms and distances in Å follow each position.
Space group Pm-3m (No. 221)
Unique sites:
As: 0.0000 0.0000 0.0000 [1 per cell]  6 Os 2.24
Os: 0.0000 0.0000 0.5000 [3 per cell]  2 As 2.24
Pt: 0.5000 0.5000 0.5000 [1 per cell]  12 Os 3.17

Entry from Alexandria: a relaxed structure of RbZr6CCl15 (PBE).

Results
E in eV per atom: -5.6837
Formation energy from raw total energies in eV per formula unit: -41.55

abc: 18.9586 14.2269 10.0130
angles: 90.00 90.00 90.00
Closest atoms and distances in Å follow each position.
Space group Pmma (No. 51)
Unique sites:
Rb: 0.2500 0.2480 0.1823 [4 per cell]  10 Cl 3.49-3.59
Zr: 0.0307 0.1147 0.8478 [8 per cell]  1 C 2.31, 4 Cl 2.54-2.57
Zr: 0.1120 0.0000 0.0823 [4 per cell]  1 C 2.28, 2 Cl 2.53
Zr: 0.1639 0.3853 0.6747 [8 per cell]  1 C 2.31, 4 Cl 2.55-2.57
Zr: 0.2500 0.5000 0.4469 [2 per cell]  1 C 2.27
Zr: 0.2500 0.5000 0.9006 [2 per cell]  1 C 2.27, 4 Cl 2.54
C: 0.0000 0.0000 0.0000 [2 per cell]  6 Zr 2.28-2.31
C: 0.2500 0.5000 0.6735 [2 per cell]  6 Zr 2.27-2.31
Cl: 0.0000 0.2516 0.0000 [4 per cell]  2 Zr 2.54
Cl: 0.0608 0.5000 0.6741 [4 per cell]  2 Zr 2.55
Cl: 0.0655 0.2500 0.6736 [8 per cell]  2 Zr 2.68
Cl: 0.0676 0.0000 0.6654 [4 per cell]  2 Zr 2.55
Cl: 0.0922 0.1263 0.2600 [8 per cell]  2 Zr 2.56-2.57
Cl: 0.1545 0.3745 0.4194 [8 per cell]  2 Zr 2.56-2.57
Cl: 0.1556 0.3750 0.9292 [8 per cell]  2 Zr 2.54-2.56
Cl: 0.1587 0.1245 0.9244 [8 per cell]  2 Zr 2.53-2.55
Cl: 0.2500 0.0000 0.1802 [2 per cell]  2 Zr 2.79
Cl: 0.2500 0.2481 0.6675 [4 per cell]  2 Zr 2.55
Cl: 0.2500 0.5000 0.1745 [2 per cell]  2 Zr 2.73-2.74

Entry from Alexandria: a relaxed structure of CePaInGa (PBE).

Results
E in eV per atom: -5.3828
Formation enthalpy at 0 K in eV/atom: -0.08

abc: 7.4167 7.4167 7.4167
angles: 90.00 90.00 90.00
Closest atoms and distances in Å follow each position.
Space group F-43m (No. 216)
Unique sites:
Ce: 0.0000 0.0000 0.0000 [4 per cell]  4 In 3.21, 4 Ga 3.21
Pa: 0.0000 0.0000 0.5000 [4 per cell]  4 Ga 3.21, 4 In 3.21
In: 0.2500 0.2500 0.2500 [4 per cell]  4 Ce 3.21, 4 Pa 3.21
Ga: 0.2500 0.2500 0.7500 [4 per cell]  4 Ce 3.21, 4 Pa 3.21

Entry from Alexandria: a relaxed structure of ZnTeNO2 (PBE).

Results
E in eV per atom: -4.3683
Formation energy from raw total energies in eV per formula unit: 0.82

abc: 3.9628 3.9628 4.1404
angles: 90.00 90.00 90.00
Closest atoms and distances in Å follow each position.
Space group P4/mmm (No. 123)
Unique sites:
Zn: 0.0000 0.0000 0.0000 [1 per cell]  4 N 2.80, 8 O 2.87
Te: 0.5000 0.5000 0.5000 [1 per cell]  4 O 1.98, 2 N 2.07
N: 0.5000 0.5000 0.0000 [1 per cell]  2 Te 2.07
O: 0.0000 0.5000 0.5000 [2 per cell]  2 Te 1.98

Entry from Alexandria: a relaxed structure of SrCuTe2 (PBE).

Results
E in eV per atom: -3.6229
Formation energy from raw total energies in eV per formula unit: -2.43

abc: 4.1279 6.2679 8.9257
angles: 90.00 90.00 90.00
Closest atoms and distances in Å follow each position.
Space group Immm (No. 71)
Unique sites:
Sr: 0.0000 0.0000 0.0000 [2 per cell]  8 Te 3.44-3.57, 4 Cu 3.75
Cu: 0.0000 0.0000 0.5000 [2 per cell]  4 Te 2.68
Te: 0.0000 0.5000 0.1918 [4 per cell]  2 Cu 2.68

Entry from Alexandria: a relaxed structure of CaAgF3 (PBE).

Results
E in eV per atom: -4.7753
Formation energy from raw total energies in eV per formula unit: -13.41

abc: 8.3767 11.5713 3.5517
angles: 90.00 90.00 90.00
Closest atoms and distances in Å follow each position.
Space group Cmmm (No. 65)
Unique sites:
Ca: 0.2500 0.2500 0.0000 [4 per cell]  6 F 2.27-2.31
Ag: 0.0000 0.0000 0.5000 [2 per cell]  8 F 2.61-2.91
Ag: 0.0000 0.5000 0.5000 [2 per cell]  4 F 2.30
F: 0.0000 0.1649 0.0000 [4 per cell]  2 Ca 2.31
F: 0.2048 0.3671 0.5000 [8 per cell]  2 Ca 2.27, 1 Ag 2.30

Entry from Alexandria: a relaxed structure of Li2FeI4 (PBE).

Results
E in eV per atom: -3.3619
Formation energy from raw total energies in eV per formula unit: -5.04

abc: 6.6309 6.6309 12.8560
angles: 90.00 90.00 90.00
Closest atoms and distances in Å follow each position.
Space group I-42m (No. 121)
Unique sites:
Li: 0.0000 0.5000 0.0000 [4 per cell]  4 I 2.79
Fe: 0.0000 0.0000 0.0000 [2 per cell]  4 I 2.64
I: 0.2310 0.2310 0.1172 [8 per cell]  1 Fe 2.64, 2 Li 2.79

Entry from Alexandria: a relaxed structure of Yb5Pt2 (PBE).

Results
E in eV per atom: -3.6806
Formation enthalpy at 0 K in eV/atom: -0.86

abc: 15.8902 6.4689 7.5627
angles: 90.00 97.67 90.00
Closest atoms and distances in Å follow each position.
Space group C2/c (No. 15)
Unique sites:
Yb: 0.0000 0.0844 0.2500 [4 per cell]  4 Pt 2.96-2.97
Yb: 0.0895 0.3832 0.9225 [8 per cell]  2 Pt 2.88-2.91
Yb: 0.2191 0.0827 0.3175 [8 per cell]  3 Pt 2.93-3.05
Pt: 0.1096 0.2070 0.5812 [8 per cell]  7 Yb 2.88-3.05

Entry from Alexandria: a relaxed structure of K2FeReNi (PBE).

Results
E in eV per atom: -3.8656
Formation enthalpy at 0 K in eV/atom: 1.91

abc: 6.5367 6.5367 4.4485
angles: 90.00 90.00 90.00
Closest atoms and distances in Å follow each position.
Space group P4/mmm (No. 123)
Unique sites:
K: 0.0000 0.5000 0.0000 [2 per cell]  2 Re 3.27
Fe: 0.0000 0.0000 0.5000 [1 per cell]  8 K 3.95
Re: 0.5000 0.5000 0.0000 [1 per cell]  2 Ni 2.22
Ni: 0.5000 0.5000 0.5000 [1 per cell]  2 Re 2.22

Entry from Alexandria: a relaxed structure of CaTa2ReMo (PBE).

Results
E in eV per atom: -8.1617
Formation enthalpy at 0 K in eV/atom: 1.64

abc: 4.8473 4.8473 5.2821
angles: 90.00 90.00 90.00
Closest atoms and distances in Å follow each position.
Space group P4/mmm (No. 123)
Unique sites:
Ca: 0.0000 0.0000 0.0000 [1 per cell]  2 Re 2.64
Ta: 0.0000 0.5000 0.5000 [2 per cell]  2 Re 2.42
Re: 0.0000 0.0000 0.5000 [1 per cell]  4 Ta 2.42, 2 Ca 2.64
Mo: 0.5000 0.5000 0.0000 [1 per cell]  4 Ca 3.43, 8 Ta 3.58

Entry from Alexandria: a relaxed structure of TlIn4Te7 (PBE).

Results
E in eV per atom: -3.2091
Formation energy from raw total energies in eV per formula unit: -3.20

abc: 16.4841 7.7640 7.2293
angles: 90.00 90.00 90.00
Closest atoms and distances in Å follow each position.
Space group Pmn2_1 (No. 31)
Unique sites:
Tl: 0.0000 0.0320 0.0000 [2 per cell]  3 Te 3.33-3.52
In: 0.1244 0.3296 0.5833 [4 per cell]  4 Te 2.82-2.89
In: 0.2411 0.8211 0.5700 [4 per cell]  4 Te 2.82-2.90
Te: 0.0000 0.0998 0.4812 [2 per cell]  2 In 2.82
Te: 0.1034 0.6575 0.4143 [4 per cell]  2 In 2.83-2.85
Te: 0.1211 0.3741 0.9723 [4 per cell]  2 In 2.82-2.83
Te: 0.2246 0.8280 0.9693 [4 per cell]  3 In 2.88-2.90

Entry from Alexandria: a relaxed structure of TbUTlO6 (PBE).

Results
E in eV per atom: -7.8290
Formation energy from raw total energies in eV per formula unit: -22.43

abc: 5.6402 5.6402 9.9484
angles: 90.00 90.00 120.00
Closest atoms and distances in Å follow each position.
Space group P-31c (No. 163)
Unique sites:
Tb: 0.0000 0.0000 0.0000 [2 per cell]  6 O 2.32
U: 0.3333 0.6667 0.2500 [2 per cell]  6 O 2.11
Tl: 0.3333 0.6667 0.7500 [2 per cell]  6 O 2.30
O: 0.0274 0.3524 0.1320 [12 per cell]  1 U 2.11, 1 Tl 2.30, 1 Tb 2.32

Entry from Alexandria: a relaxed structure of Rb2TiWCl6 (PBE).

Results
E in eV per atom: -4.3940
Formation energy from raw total energies in eV per formula unit: -10.08

abc: 7.2306 7.2306 9.0939
angles: 90.00 90.00 90.00
Closest atoms and distances in Å follow each position.
Space group I4/mmm (No. 139)
Unique sites:
Rb: 0.0000 0.5000 0.2500 [4 per cell]  12 Cl 3.42-3.62
Ti: 0.0000 0.0000 0.0000 [2 per cell]  2 Cl 2.25
W: 0.0000 0.0000 0.5000 [2 per cell]  6 Cl 2.30-2.53
Cl: 0.0000 0.0000 0.2473 [4 per cell]  1 Ti 2.25, 1 W 2.30
Cl: 0.2470 0.2470 0.5000 [8 per cell]  1 W 2.53, 1 Ti 2.59

Entry from Alexandria: a relaxed structure of Tl2HgOs (PBE).

Results
E in eV per atom: -3.2168
Formation enthalpy at 0 K in eV/atom: 0.85

abc: 3.2186 4.8627 5.8174
angles: 90.00 98.00 90.00
Closest atoms and distances in Å follow each position.
Space group P2/m (No. 10)
Unique sites:
Tl: 0.1654 0.0000 0.2646 [2 per cell]  2 Os 2.92, 5 Tl 3.07-3.24, 2 Hg 3.15
Hg: 0.5000 0.5000 0.0000 [1 per cell]  2 Os 2.91, 4 Tl 3.15, 2 Hg 3.22
Os: 0.5000 0.5000 0.5000 [1 per cell]  2 Hg 2.91, 4 Tl 2.92, 2 Os 3.22